Compound: KCo2F
Source: Alexandria via LeMat-Bulk
Functional: PBE+U
Structure: optimized geometry

N(E_F) ... 7.7 states/eV/f.u.
Uncorrected energy ... -2.37 eV per atom
M_tot ... 5.8 μB per cell

Unit cell a=5.170 b=5.170 c=5.170 alpha=60.00 beta=60.00 gamma=60.00
Last column: magnetic moment on the atom in μB.
Sites, in units of the cell vectors:
K: 0.500 0.500 0.500  0.01
Co: 0.250 0.250 0.250  2.70
Co: 0.750 0.750 0.750  2.70
F: 0.000 0.000 0.000  0.10

***

Compound: K5Co2F12
Source: Alexandria via LeMat-Bulk
Functional: PBE+U
Structure: optimized geometry

N(E_F) ... 7.1 states/eV/f.u.
Uncorrected energy ... -4.34 eV per atom
M_tot ... 3.0 μB per cell

Unit cell a=7.949 b=10.652 c=6.646 alpha=113.04 beta=53.61 gamma=118.29
Last column: magnetic moment on the atom in μB.
Sites, in units of the cell vectors:
K: 0.975 0.621 0.342  0.00
K: 0.652 0.814 0.260  0.00
K: 0.500 0.000 0.000  0.00
K: 0.348 0.186 0.740  0.00
K: 0.025 0.379 0.658  0.00
Co: 0.865 0.240 0.170  1.52
Co: 0.135 0.760 0.830  1.52
F: 0.321 0.720 0.867  0.01
F: 0.946 0.130 0.844  0.01
F: 0.635 0.079 0.310  -0.04
F: 0.102 0.395 0.018  -0.05
F: 0.043 0.202 0.217  0.02
F: 0.771 0.355 0.494  0.01
F: 0.229 0.645 0.506  0.01
F: 0.898 0.605 0.982  -0.05
F: 0.957 0.798 0.783  0.02
F: 0.054 0.870 0.156  0.01
F: 0.365 0.921 0.690  -0.04
F: 0.679 0.280 0.133  0.01

***

Compound: K2CoF
Source: Alexandria via LeMat-Bulk
Functional: PBE+U
Structure: optimized geometry

N(E_F) ... 0.0 states/eV/f.u.
Uncorrected energy ... -3.00 eV per atom
M_tot ... 4.0 μB per cell

Unit cell a=7.685 b=7.685 c=7.135 alpha=57.41 beta=57.41 gamma=90.00
Last column: magnetic moment on the atom in μB.
Sites, in units of the cell vectors:
K: 0.531 0.125 0.250  0.00
K: 0.219 0.625 0.250  0.00
K: 0.375 0.469 0.750  0.00
K: 0.875 0.781 0.750  0.00
Co: 0.000 0.000 0.000  2.00
Co: 0.750 0.250 0.500  2.00
F: 0.500 0.500 0.000  0.00
F: 0.250 0.750 0.500  0.00

***

Compound: K2Co2F7
Source: Alexandria via LeMat-Bulk
Functional: PBE+U
Structure: optimized geometry

N(E_F) ... 2.1 states/eV/f.u.
Uncorrected energy ... -4.66 eV per atom
M_tot ... 14.0 μB per cell

Unit cell a=4.015 b=5.915 c=14.037 alpha=90.00 beta=98.22 gamma=90.00
Last column: magnetic moment on the atom in μB.
Sites, in units of the cell vectors:
K: 0.550 0.522 0.100  0.00
K: 0.710 0.021 0.421  0.00
K: 0.290 0.521 0.579  0.00
K: 0.450 0.022 0.900  0.00
Co: 0.946 0.522 0.891  2.89
Co: 0.846 0.022 0.693  3.24
Co: 0.154 0.522 0.307  3.24
Co: 0.054 0.022 0.109  2.89
F: 0.000 0.272 0.000  0.06
F: 0.898 0.791 0.797  0.10
F: 0.898 0.254 0.796  0.10
F: 0.798 0.797 0.596  0.14
F: 0.651 0.522 0.301  0.16
F: 0.551 0.022 0.103  0.08
F: 0.798 0.245 0.596  0.14
F: 0.202 0.745 0.404  0.14
F: 0.449 0.522 0.897  0.08
F: 0.349 0.022 0.699  0.16
F: 0.202 0.297 0.404  0.14
F: 0.102 0.291 0.203  0.10
F: 0.102 0.754 0.204  0.10
F: 0.000 0.772 0.000  0.06

***

Compound: KCoF5
Source: Alexandria via LeMat-Bulk
Functional: PBE+U
Structure: optimized geometry

Uncorrected energy ... -4.23 eV per atom
M_tot ... 6.0 μB per cell

Unit cell a=5.849 b=5.849 c=7.922 alpha=71.22 beta=71.22 gamma=71.41
Last column: magnetic moment on the atom in μB.
Sites, in units of the cell vectors:
K: 0.537 0.463 0.750  0.00
K: 0.463 0.537 0.250  0.00
Co: 0.000 0.000 0.000  2.50
Co: 0.000 0.000 0.500  2.50
F: 0.270 0.113 0.895  0.14
F: 0.311 0.815 0.507  -0.02
F: 0.113 0.270 0.395  0.14
F: 0.933 0.067 0.750  0.19
F: 0.185 0.689 0.993  -0.02
F: 0.815 0.311 0.007  -0.02
F: 0.067 0.933 0.250  0.19
F: 0.887 0.730 0.605  0.14
F: 0.689 0.185 0.493  -0.02
F: 0.730 0.887 0.105  0.14

***

Compound: K3Co2F7
Source: Alexandria via LeMat-Bulk
Functional: PBE+U
Structure: optimized geometry

N(E_F) ... 0.0 states/eV/f.u.
Uncorrected energy ... -4.67 eV per atom
M_tot ... 6.0 μB per cell

Unit cell a=4.018 b=4.259 c=10.907 alpha=101.26 beta=90.00 gamma=90.00
Last column: magnetic moment on the atom in μB.
Sites, in units of the cell vectors:
K: 0.500 0.500 0.000  0.00
K: 0.500 0.682 0.365  0.00
K: 0.500 0.318 0.635  0.00
Co: 0.000 0.904 0.807  2.79
Co: 0.000 0.096 0.193  2.79
F: 0.000 0.405 0.810  0.04
F: 0.000 0.810 0.619  0.04
F: 0.000 0.000 0.000  0.05
F: 0.000 0.595 0.190  0.04
F: 0.500 0.095 0.190  0.06
F: 0.500 0.905 0.810  0.06
F: 0.000 0.190 0.381  0.04

***

> The highest uncorrected energy belongs to which entry?

KCo2F

***

> Which value of uncorrected energy does entry 3 give?

-3.00 eV per atom

***

> Number 4 is which compound?

K2Co2F7

***

> The lowest M_tot belongs to which entry?

K5Co2F12